Material: Sm2BiAu4
Method: DFT, PBE-GGA
State: relaxed

POSCAR file:
```
Sm2BiAu4
1.0
2.462 1.421 8.616
-2.462 1.421 8.616
0.000 -2.843 8.616
Sm Bi Au
2 1 4
Cartesian
0.000 0.000 6.400 Sm
0.000 0.000 19.447 Sm
0.000 0.000 0.000 Bi
0.000 0.000 3.436 Au
0.000 0.000 9.816 Au
0.000 0.000 16.032 Au
0.000 0.000 22.412 Au
```

Properties
Final energy: -4.332 eV per atom
M_tot: 0.000 μB per atom
Formation enthalpy at 0 K: -0.56 eV per atom
Density: 11.9 g/cm³